First-principles (SCAN) data for a PBEsol-optimized structure of NaSc2Zn, as listed in the Alexandria database.

Cell lengths 3.2079, 3.2079, 32.2532 Å; angles 90.00, 90.00, 120.00 degrees
Space group R-3m (No. 166, hexagonal axes)
Asymmetric unit:
Na  0.0000  0.0000  0.0000 x3
Sc  0.0000  0.0000  0.1014 x6
Zn  0.0000  0.0000  0.5000 x3

Summary:
D(E_F) in states/eV per cell: 12.3
V in Å³/cell: 287.4
Energy of formation in meV per atom: 124
VASP energy in eV/atom: -11.43